# GGA-PBE Dy2YMg5, optimized geometry
# - Crystal system: tetragonal
# - DOS(E_F): 0.82 states/eV/atom
# - Energy of formation from the pure elements: -76 meV per atom
# - Spin magnetization: 0.0 μB per cell
data_Dy2YMg5
_chemical_formula_sum 'Dy4 Y2 Mg10'
_symmetry_space_group_name_H-M 'I 4/m m m'
_symmetry_Int_Tables_number 139
_symmetry_space_group_name_Hall '-I 4 2'
_cell_length_a 5.2434
_cell_length_b 5.2434
_cell_length_c 15.1813
_cell_angle_alpha 90.00
_cell_angle_beta 90.00
_cell_angle_gamma 90.00
loop_
_atom_site_label
_atom_site_type_symbol
_atom_site_fract_x
_atom_site_fract_y
_atom_site_fract_z
Dy1 Dy 0.0000 0.0000 0.2432
Y1 Y 0.0000 0.0000 0.5000
Mg1 Mg 0.0000 0.0000 0.0000
Mg2 Mg 0.0000 0.5000 0.1200